## ThAl4Ni2 (PBE-GGA)

Data for an optimized crystal structure of ThAl4Ni2.

abc: 3.965 7.657 7.657
angles: 90.00 90.00 90.00
Sites, in units of the cell vectors:
Th1 0.500 0.000 0.000
Th2 0.000 0.500 0.500
Al1 0.000 0.086 0.335
Al2 0.000 0.914 0.665
Al3 0.500 0.165 0.586
Al4 0.500 0.835 0.414
Al5 0.500 0.414 0.835
Al6 0.500 0.586 0.165
Al7 0.000 0.335 0.086
Al8 0.000 0.665 0.914
Ni1 0.000 0.211 0.789
Ni2 0.000 0.789 0.211
Ni3 0.500 0.711 0.711
Ni4 0.500 0.289 0.289

Values from the calculation:
Electronic total energy ... -5.384 eV per atom
Magnetic moment ... 0.000 μB/atom
Density of states at the Fermi level ... 6.22 states/eV per cell
Offset from the most stable computed form ... 0.063 eV per atom

## Th3Al9Ni2 (PBE-GGA)

Data for an optimized crystal structure of Th3Al9Ni2.

abc: 4.340 8.248 8.248
angles: 75.75 74.75 74.75
Sites, in units of the cell vectors:
Th1 0.000 0.000 0.000
Th2 0.683 0.317 0.317
Th3 0.317 0.683 0.683
Al1 0.000 0.500 0.500
Al2 0.661 0.975 0.703
Al3 0.339 0.025 0.297
Al4 0.661 0.703 0.975
Al5 0.339 0.297 0.025
Al6 0.881 0.840 0.397
Al7 0.119 0.160 0.603
Al8 0.881 0.397 0.840
Al9 0.119 0.603 0.160
Ni1 0.500 0.283 0.717
Ni2 0.500 0.717 0.283

Values from the calculation:
Electronic total energy ... -5.302 eV per atom
Magnetic moment ... 0.000 μB/atom
Density of states at the Fermi level ... 4.92 states/eV per cell